# 1
VASP calculation (PBE) on a relaxed structure of Al2InRe.

Cell and atoms, written as POSCAR:
```
Al2InRe
1.0
3.374 0.000 0.000
0.000 3.374 0.000
0.000 0.000 5.832
Al In Re
2 1 1
Direct
0.000 0.000 0.217 Al
0.000 0.000 0.783 Al
0.500 0.500 0.500 In
0.500 0.500 0.000 Re
```

=====

# 2
VASP calculation (PBE) on a relaxed structure of AlIn2Re.

Cell and atoms, written as POSCAR:
```
AlIn2Re
1.0
5.520 -1.411 0.000
5.520 1.411 0.000
-1.443 0.000 4.941
Al In Re
1 2 1
Direct
0.000 0.000 0.000 Al
0.564 0.564 0.533 In
0.761 0.761 0.165 In
0.316 0.316 0.692 Re
```

=====

# 3
VASP calculation (PBE) on a relaxed structure of AlIn2Re.

Cell and atoms, written as POSCAR:
```
AlIn2Re
1.0
3.604 0.000 0.000
0.000 4.443 0.000
0.000 0.000 4.574
Al In Re
1 2 1
Direct
0.000 0.000 0.000 Al
0.000 0.500 0.500 In
0.500 0.000 0.500 In
0.500 0.500 0.000 Re
```

=====

# 4
VASP calculation (PBE) on a relaxed structure of AlIn2Re.

Cell and atoms, written as POSCAR:
```
AlIn2Re
1.0
3.642 0.000 0.000
0.000 3.642 0.000
0.000 0.000 5.612
Al In Re
1 2 1
Direct
0.000 0.000 0.000 Al
0.500 0.500 0.254 In
0.500 0.500 0.746 In
0.000 0.000 0.500 Re
```

=====

# 5
VASP calculation (PBE) on a relaxed structure of Al2InRe.

Cell and atoms, written as POSCAR:
```
Al2InRe
1.0
3.460 0.000 0.000
0.000 3.460 0.000
0.000 0.000 5.611
Al In Re
2 1 1
Direct
0.000 0.000 0.000 Al
0.500 0.500 0.253 Al
0.000 0.000 0.517 In
0.500 0.500 0.799 Re
```

=====

# 6
VASP calculation (PBE) on a relaxed structure of AlIn2Re.

Cell and atoms, written as POSCAR:
```
AlIn2Re
1.0
2.918 0.000 0.000
0.000 5.113 0.000
-0.411 0.000 5.073
Al In Re
1 2 1
Direct
0.000 0.000 0.000 Al
0.246 0.500 0.253 In
0.754 0.500 0.747 In
0.500 0.000 0.500 Re
```

=====

Looking at calculated formation energy for the records above, in order, we have 0.005 0.356 0.541 0.387 0.094 0.488 eV/atom.